[1]
The following is a PBE calculation of a relaxed LaTcSb2 crystal, from Alexandria.

Calculated values
Fermi-level density of states = 0.611 states/eV per atom
relative energy among the computed polymorphs = 0.569 eV/atom
total DFT energy (no corrections) = -5.782 eV/atom
V = 381 Å³/cell
magnetization = 0.00 μB per cell

abc: 7.2464 7.2464 7.2464
angles: 90.00 90.00 90.00
With the nearest neighbours (Å) after each atom.
Space group F-43m (No. 216)
Inequivalent atoms, fractional coordinates:
La (0.0000, 0.0000, 0.0000) x4  4 Tc 3.14, 4 Sb 3.14
Tc (0.2500, 0.2500, 0.2500) x4  4 La 3.14, 4 Sb 3.14
Sb (0.0000, 0.0000, 0.5000) x4  4 Tc 3.14, 4 Sb 3.14
Sb (0.2500, 0.2500, 0.7500) x4  4 La 3.14, 4 Sb 3.14

=====

[2]
The following is a PBE calculation of a relaxed PaReTc2 crystal, from Alexandria.

Calculated values
formation energy from the elements = 0.049 eV/atom
Fermi-level density of states = 1.255 states/eV per atom
relative energy among the computed polymorphs = 0.000 eV/atom
total DFT energy (no corrections) = -10.620 eV/atom
V = 69 Å³/cell
magnetization = 0.00 μB per cell

abc: 4.6403 4.6403 3.2111
angles: 90.00 90.00 90.00
With the nearest neighbours (Å) after each atom.
Space group P4/mmm (No. 123)
Inequivalent atoms, fractional coordinates:
Pa (0.0000, 0.0000, 0.0000) x1  8 Tc 2.82
Re (0.5000, 0.5000, 0.0000) x1  8 Tc 2.82
Tc (0.0000, 0.5000, 0.5000) x2  4 Pa 2.82, 4 Re 2.82

=====

[3]
The following is a PBE calculation of a relaxed FeBi3As crystal, from Alexandria.

Calculated values
formation energy from the elements = 0.498 eV/atom
Fermi-level density of states = 0.541 states/eV per atom
relative energy among the computed polymorphs = 0.000 eV/atom
total DFT energy (no corrections) = -4.453 eV/atom
V = 133 Å³/cell
magnetization = 1.32 μB per cell

abc: 5.1077 5.1077 5.1077
angles: 90.00 90.00 90.00
With the nearest neighbours (Å) after each atom.
Space group Pm-3m (No. 221)
Inequivalent atoms, fractional coordinates:
Fe (0.0000, 0.0000, 0.0000) x1  6 Bi 2.55
Bi (0.0000, 0.0000, 0.5000) x3  2 Fe 2.55
As (0.5000, 0.5000, 0.5000) x1  12 Bi 3.61

=====

[4]
The following is a PBE calculation of a relaxed Ac3W2N8 crystal, from Alexandria.

Calculated values
Fermi-level density of states = 0.737 states/eV per atom
total DFT energy (no corrections) = -8.715 eV/atom
V = 650 Å³/cell
magnetization = 8.90 μB per cell

abc: 5.9468 5.9468 21.2219
angles: 90.00 90.00 120.00
With the nearest neighbours (Å) after each atom.
Space group R-3m (No. 166, hexagonal axes)
Inequivalent atoms, fractional coordinates:
Ac (0.0000, 0.0000, 0.0000) x3  6 N 2.75
Ac (0.0000, 0.0000, 0.2007) x6  4 N 2.52-2.66
W (0.0000, 0.0000, 0.4068) x6  4 N 1.85-1.88
N (0.0000, 0.0000, 0.3194) x6  1 W 1.85
N (0.0098, 0.5049, 0.7697) x18  1 W 1.88

=====

[5]
The following is a PBE calculation of a relaxed NdInNiRh crystal, from Alexandria.

Calculated values
formation energy from the elements = -0.401 eV/atom
Fermi-level density of states = 0.920 states/eV per atom
total DFT energy (no corrections) = -5.561 eV/atom
V = 307 Å³/cell
magnetization = 0.00 μB per cell

abc: 6.7436 6.7436 6.7436
angles: 90.00 90.00 90.00
With the nearest neighbours (Å) after each atom.
Space group F-43m (No. 216)
Inequivalent atoms, fractional coordinates:
Nd (0.0000, 0.0000, 0.0000) x4  4 Ni 2.92, 4 Rh 2.92
In (0.0000, 0.0000, 0.5000) x4  4 Rh 2.92, 4 Ni 2.92
Ni (0.2500, 0.2500, 0.7500) x4  4 In 2.92, 4 Nd 2.92
Rh (0.2500, 0.2500, 0.2500) x4  4 In 2.92, 4 Nd 2.92

=====

[6]
The following is a PBE calculation of a relaxed K2UMnS5 crystal, from Alexandria.

Calculated values
Fermi-level density of states = 0.619 states/eV per atom
total DFT energy (no corrections) = -5.905 eV/atom
V = 1006 Å³/cell
magnetization = 20.01 μB per cell

abc: 4.0196 18.5423 13.5036
angles: 90.00 90.00 90.00
With the nearest neighbours (Å) after each atom.
Space group Cmc2_1 (No. 36)
Inequivalent atoms, fractional coordinates:
K (0.0000, 0.1138, 0.0000) x4  5 S 3.20-3.46
K (0.0000, 0.1236, 0.6471) x4  7 S 3.18-3.49
U (0.0000, 0.2041, 0.3419) x4  6 S 2.45-2.70
Mn (0.0000, 0.4317, 0.7453) x4  4 S 2.15-2.37
S (0.0000, 0.0605, 0.3344) x4  2 Mn 2.35
S (0.0000, 0.2988, 0.9676) x4  2 U 2.63
S (0.0000, 0.3064, 0.7096) x4  1 Mn 2.37
S (0.0000, 0.3359, 0.3280) x4  1 U 2.45
S (0.0000, 0.4935, 0.6101) x4  1 Mn 2.15

=====

[7]
The following is a PBE calculation of a relaxed Ni2BiS crystal, from Alexandria.

Calculated values
Fermi-level density of states = 0.647 states/eV per atom
relative energy among the computed polymorphs = 0.000 eV/atom
total DFT energy (no corrections) = -5.135 eV/atom
V = 148 Å³/cell
magnetization = 0.00 μB per cell

abc: 5.4703 3.9937 6.7568
angles: 90.00 90.00 90.00
With the nearest neighbours (Å) after each atom.
Space group Pmma (No. 51)
Inequivalent atoms, fractional coordinates:
Ni (0.0000, 0.0000, 0.0000) x2  2 S 2.25
Ni (0.2500, 0.5000, 0.1287) x2  2 S 2.20
Bi (0.2500, 0.5000, 0.7450) x2  3 Ni 2.59-2.87
S (0.2500, 0.0000, 0.2639) x2  4 Ni 2.20-2.25

=====

[8]
The following is a PBE calculation of a relaxed TbNi2P2 crystal, from Alexandria.

Calculated values
formation energy from the elements = -1.018 eV/atom
Fermi-level density of states = 0.382 states/eV per atom
total DFT energy (no corrections) = -6.421 eV/atom
V = 142 Å³/cell
magnetization = 0.00 μB per cell

abc: 3.8916 3.8916 9.3759
angles: 90.00 90.00 90.00
With the nearest neighbours (Å) after each atom.
Space group I4/mmm (No. 139)
Inequivalent atoms, fractional coordinates:
Tb (0.0000, 0.0000, 0.0000) x2  8 P 2.99, 8 Ni 3.05
Ni (0.0000, 0.5000, 0.2500) x4  4 P 2.28
P (0.0000, 0.0000, 0.3761) x4  4 Ni 2.28, 1 P 2.32

=====

[9]
The following is a PBE calculation of a relaxed KAgHF6 crystal, from Alexandria.

Calculated values
total DFT energy (no corrections) = -3.545 eV/atom
V = 139 Å³/cell
magnetization = 1.01 μB per cell

abc: 5.1291 5.4538 5.5916
angles: 84.21 63.83 83.86
With the nearest neighbours (Å) after each atom.
Space group P1 (No. 1)
Inequivalent atoms, fractional coordinates:
K (0.0000, 0.0000, 0.0000) x1  6 F 2.72-3.00
Ag (0.4210, 0.4572, 0.3924) x1  4 F 1.95-1.96
H (0.4374, 0.4591, 0.8841) x1  2 F 1.13-1.18
F (0.0240, 0.3691, 0.6175) x1  1 Ag 1.95
F (0.2882, 0.7814, 0.2863) x1  1 Ag 1.96
F (0.4239, 0.6123, 0.7381) x1  1 H 1.13
F (0.4355, 0.2982, 0.0431) x1  1 H 1.18
F (0.5568, 0.1349, 0.5011) x1  1 Ag 1.96
F (0.8239, 0.5341, 0.1635) x1  1 Ag 1.96

=====

[10]
The following is a PBE calculation of a relaxed La6PrAg crystal, from Alexandria.

Calculated values
formation energy from the elements = 0.025 eV/atom
Fermi-level density of states = 1.541 states/eV per atom
relative energy among the computed polymorphs = 0.000 eV/atom
total DFT energy (no corrections) = -4.625 eV/atom
V = 1085 Å³/cell
magnetization = 0.00 μB per cell

abc: 8.2467 8.2716 15.9024
angles: 90.00 90.00 90.00
With the nearest neighbours (Å) after each atom.
Space group Fmmm (No. 69)
Inequivalent atoms, fractional coordinates:
La (0.0000, 0.0000, 0.2348) x8  8 La 3.53-3.83, 1 Pr 3.73
La (0.2500, 0.2500, 0.1097) x16  2 Pr 3.40, 2 Ag 3.40, 3 La 3.49-3.53
Pr (0.0000, 0.0000, 0.0000) x4  10 La 3.40-3.73
Ag (0.0000, 0.0000, 0.5000) x4  8 La 3.40

=====

[11]
The following is a PBE calculation of a relaxed MoPRu crystal, from Alexandria.

Calculated values
formation energy from the elements = -0.293 eV/atom
Fermi-level density of states = 0.431 states/eV per atom
relative energy among the computed polymorphs = 0.238 eV/atom
total DFT energy (no corrections) = -8.798 eV/atom
V = 169 Å³/cell
magnetization = 0.00 μB per cell

abc: 12.4664 2.9475 4.5900
angles: 90.00 90.48 90.00
With the nearest neighbours (Å) after each atom.
Space group Cm (No. 8)
Inequivalent atoms, fractional coordinates:
Mo (0.0000, 0.0000, 0.0000) x2  4 P 2.40-2.55
Mo (0.1432, 0.0000, 0.4961) x2  2 P 2.44
P (0.3380, 0.0000, 0.1039) x2  4 Ru 2.36, 2 Mo 2.55
P (0.4916, 0.0000, 0.5871) x2  4 Mo 2.40-2.44, 2 Ru 2.45
Ru (0.1951, 0.5000, 0.9972) x2  2 P 2.36
Ru (0.3372, 0.5000, 0.5042) x2  4 P 2.36-2.45

=====

[12]
The following is a PBE calculation of a relaxed Mn2AsH2 crystal, from Alexandria.

Calculated values
Fermi-level density of states = 0.837 states/eV per atom
relative energy among the computed polymorphs = 0.000 eV/atom
total DFT energy (no corrections) = -5.903 eV/atom
V = 92 Å³/cell
magnetization = 9.46 μB per cell

abc: 3.0515 3.0515 9.8955
angles: 90.00 90.00 90.00
With the nearest neighbours (Å) after each atom.
Space group I4/mmm (No. 139)
Inequivalent atoms, fractional coordinates:
Mn (0.0000, 0.0000, 0.1418) x4  4 H 1.86
As (0.0000, 0.0000, 0.5000) x2  8 Mn 2.57
H (0.0000, 0.5000, 0.2500) x4  4 Mn 1.86